[1]
The following is a PBE-GGA calculation of NaLa2GeRh after structural relaxation, from Alexandria.

POSCAR file:
```
NaLa2GeRh
1.0
-4.093 -0.404 3.699
2.406 -3.199 2.313
2.357 3.973 3.043
Na La Rh Ge
1 2 1 1
direct
0.000 0.000 0.000
0.000 0.000 0.500
0.500 0.000 0.000
0.500 0.500 0.500
0.000 0.500 0.000
```

## Properties
Total magnetic moment ... 0.000 μB/atom
Calculated density ... 5.592 g/cm3
Symmetry ... P4/mmm (123)
Formation energy ... 753.5 meV per atom

[2]
The following is a PBE-GGA calculation of NaLa2GeRu after structural relaxation, from Alexandria.

POSCAR file:
```
NaLa2GeRu
1.0
-2.571 4.207 -2.553
-3.742 0.200 4.097
2.809 3.179 2.410
Ru Na La Ge
1 1 2 1
direct
0.000 0.000 0.000
0.500 0.500 0.500
0.000 0.500 0.000
0.500 0.000 0.000
0.000 0.000 0.500
```

## Properties
Total magnetic moment ... 0.000 μB/atom
Calculated density ... 5.239 g/cm3
Symmetry ... P4/mmm (123)
Formation energy ... -248.3 meV per atom

[3]
The following is a PBE-GGA calculation of NaLaGeS4 after structural relaxation, from Alexandria.

POSCAR file:
```
NaLaGeS4
1.0
7.627 0.000 0.000
3.814 6.913 -0.126
3.814 1.986 6.623
S La Ge Na
8 2 2 2
direct
0.256 0.256 0.756
0.268 0.744 0.244
0.259 0.718 0.764
0.741 0.736 0.782
0.741 0.282 0.236
0.732 0.256 0.756
0.259 0.264 0.218
0.744 0.744 0.244
0.000 0.500 0.500
0.000 0.000 0.000
0.635 0.615 0.115
0.365 0.385 0.885
0.000 0.000 0.500
0.500 0.000 0.500
```

## Properties
Total magnetic moment ... 0.000 μB/atom
Formation energy from raw total energies ... -1.067 eV/atom
Calculated density ... 3.432 g/cm3
Symmetry ... Imma (74)

[4]
The following is a PBE-GGA calculation of Na2LaGeSe4 after structural relaxation, from Alexandria.

POSCAR file:
```
Na2LaGeSe4
1.0
8.406 -0.018 -0.256
-0.023 8.405 -0.256
-4.324 -4.327 6.186
Na La Se Ge
4 2 8 2
direct
0.000 0.000 0.500
0.500 0.500 0.000
0.500 0.000 0.000
0.500 0.000 0.500
0.000 0.500 0.500
0.000 0.500 0.000
0.252 0.248 0.469
0.736 0.262 0.499
0.748 0.752 0.969
0.252 0.248 0.031
0.762 0.236 0.999
0.748 0.752 0.531
0.238 0.764 0.001
0.264 0.738 0.501
0.000 0.000 0.000
0.500 0.500 0.500
```

## Properties
Total magnetic moment ... 0.000 μB/atom
Formation energy from raw total energies ... -1.094 eV/atom
Calculated density ... 4.551 g/cm3
Symmetry ... Imma (74)

[5]
The following is a PBE-GGA calculation of NaLaSnGe after structural relaxation, from Alexandria.

POSCAR file:
```
NaLaSnGe
1.0
-4.901 1.054 -1.820
-1.502 -1.777 -4.799
-3.600 -3.916 -0.387
Na Ge La Sn
1 1 1 1
direct
0.500 0.500 0.500
0.250 0.250 0.250
0.000 0.000 0.000
0.750 0.750 0.750
```

## Properties
Total magnetic moment ... 0.000 μB/atom
Calculated density ... 5.468 g/cm3
Symmetry ... F-43m (216)
Formation energy ... -343.1 meV per atom

[6]
The following is a PBE-GGA calculation of NaLaTlGe after structural relaxation, from Alexandria.

POSCAR file:
```
NaLaTlGe
1.0
-0.607 -3.075 -4.315
-0.795 -5.245 0.553
-4.769 -2.108 -1.123
Tl La Na Ge
1 1 1 1
direct
0.500 0.500 0.500
0.750 0.750 0.750
0.250 0.250 0.250
0.000 0.000 0.000
```

## Properties
Total magnetic moment ... 0.000 μB/atom
Calculated density ... 6.795 g/cm3
Symmetry ... F-43m (216)
Formation energy ... -308.0 meV per atom

[7]
The following is a PBE-GGA calculation of NaLa2YGe after structural relaxation, from Alexandria.

POSCAR file:
```
NaLa2YGe
1.0
5.963 0.000 0.000
0.000 5.484 0.000
0.000 0.000 5.963
Ge Na La Y
1 1 2 1
direct
0.000 0.500 0.000
0.500 0.500 0.500
0.500 0.000 0.000
0.000 0.000 0.500
0.000 0.000 0.000
```

## Properties
Total magnetic moment ... 0.000 μB/atom
Calculated density ... 3.938 g/cm3
Symmetry ... P4/mmm (123)
Formation energy ... 476.3 meV per atom

[8]
The following is a PBE-GGA calculation of NaLa2ZnGe after structural relaxation, from Alexandria.

POSCAR file:
```
NaLa2ZnGe
1.0
-5.124 -1.205 -2.652
-1.052 -3.141 3.459
-2.610 4.283 3.096
Ge La Zn Na
1 2 1 1
direct
0.000 0.000 0.000
0.500 0.000 0.000
0.000 0.000 0.500
0.000 0.500 0.000
0.500 0.500 0.500
```

## Properties
Total magnetic moment ... 0.000 μB/atom
Calculated density ... 4.380 g/cm3
Symmetry ... P4/mmm (123)
Formation energy ... -20.7 meV per atom